DFT (GGA-PBE) results for crystalline La2NiP3Pt4 at its relaxed geometry.

Summary:
Theoretical density = 11.15 Mg/m³
Formation energy = -91 kJ/mol of atoms

Lattice parameters (Å, degrees): 4.301 4.301 9.739 90.00 90.00 90.00
Sites, in units of the cell vectors:
1 La 0.000 0.500 0.245
2 La 0.500 0.000 0.755
3 Ni 0.500 0.500 0.000
4 P 0.000 0.000 0.000
5 P 0.000 0.500 0.633
6 P 0.500 0.000 0.367
7 Pt 0.000 0.000 0.500
8 Pt 0.000 0.500 0.877
9 Pt 0.500 0.000 0.123
10 Pt 0.500 0.500 0.500